BaCa3P: single point on PBEsol structure, SCAN.

Computed properties:
Final energy: -81.4 eV for the cell shown
Calculated volume: 37.2 A^3/atom
SG: No. 221
Magnetic moment: 0.0000 μB per atom
DOS at the Fermi energy: 3.989 states/eV/cell

abc: 5.7076 5.7076 5.7076
angles: 90.00 90.00 90.00
Closest atoms and distances in Å follow each position.
Sites, in units of the cell vectors:
P 0.0000 0.0000 0.0000  6 Ca 2.85
Ca 0.0000 0.5000 0.0000  2 P 2.85
Ca 0.0000 0.0000 0.5000  2 P 2.85
Ca 0.5000 0.0000 0.0000  2 P 2.85
Ba 0.5000 0.5000 0.5000  12 Ca 4.04